PrCoNO: relaxed, PBE+U.

Computed properties:
Magnetic moment = 0.750 μB per atom
E_tot = -7.00 eV per atom
Symmetry = Cmme
Energy above the most stable polymorph in this dataset = 0.0000 eV per atom

Cell: 3.8841 3.8841 7.5004 Å, 90.00 90.00 90.24°
With the nearest neighbours (Å) after each atom.
Fractional positions:
O: 0.7500 0.7500 0.5000  4 Pr 2.32
Co: 0.7500 0.7500 0.0000  4 N 2.04
Pr: 0.2500 0.7500 0.6681  4 O 2.32
Pr: 0.7500 0.2500 0.3319  4 O 2.32
N: 0.7500 0.2500 0.9177  4 Co 2.04
O: 0.2500 0.2500 0.5000  4 Pr 2.32
Co: 0.2500 0.2500 0.0000  4 N 2.04
N: 0.2500 0.7500 0.0823  4 Co 2.04